1.
VASP calculation (PBE) on a geometry-optimized Ac2PmDyS4 structure.

a b c (Å): 4.057 7.078 7.355
angles (deg): 108.50 90.00 90.00
Positions (direct):
Pm (0.000, 0.000, 0.000)
S (0.000, 0.266, 0.778)
S (0.500, 0.752, 0.774)
S (0.500, 0.248, 0.226)
S (0.000, 0.734, 0.222)
Dy (0.500, 0.500, 0.000)
Ac (0.500, 0.000, 0.500)
Ac (0.000, 0.500, 0.500)

Output
Symmetry: P2/m, No. 10

2.
VASP calculation (PBE) on a geometry-optimized TbPr2Y3Bi6 structure.

a b c (Å): 7.867 7.867 7.854
angles (deg): 99.61 99.61 120.02
Positions (direct):
Tb (0.000, 0.000, 0.000)
Y (0.831, 0.169, 0.500)
Y (0.500, 0.500, 0.500)
Y (0.169, 0.831, 0.500)
Bi (0.759, 0.759, 0.259)
Bi (0.085, 0.413, 0.256)
Bi (0.587, 0.915, 0.744)
Bi (0.413, 0.085, 0.256)
Bi (0.915, 0.587, 0.744)
Bi (0.241, 0.241, 0.741)
Pr (0.334, 0.666, 0.000)
Pr (0.666, 0.334, 0.000)

Output
Symmetry: C2/m, No. 12

3.
VASP calculation (PBE) on a geometry-optimized Mg2Hg6Pb structure.

a b c (Å): 4.833 10.345 10.345
angles (deg): 60.12 84.46 84.46
Positions (direct):
Hg (0.161, 0.355, 0.120)
Hg (0.661, 0.120, 0.355)
Hg (0.056, 0.546, 0.327)
Hg (0.556, 0.327, 0.546)
Hg (0.444, 0.673, 0.454)
Hg (0.809, 0.003, 0.751)
Hg (0.691, 0.249, 0.997)
Hg (0.339, 0.880, 0.645)
Hg (0.309, 0.751, 0.003)
Hg (0.191, 0.997, 0.249)
Hg (0.944, 0.454, 0.673)
Hg (0.839, 0.645, 0.880)
Pb (0.250, 0.128, 0.872)
Pb (0.750, 0.872, 0.128)
Mg (0.118, 0.207, 0.465)
Mg (0.618, 0.465, 0.207)
Mg (0.882, 0.793, 0.535)
Mg (0.382, 0.535, 0.793)

Output
Energy above the lowest structure with this stoichiometry in eV/atom: 0.000
Symmetry: C2/c, No. 15

4.
VASP calculation (PBE) on a geometry-optimized CsTl6Hg12 structure.

a b c (Å): 8.758 9.224 9.224
angles (deg): 69.53 71.55 108.45
Positions (direct):
Hg (0.264, 0.454, 0.615)
Hg (0.782, 0.277, 0.876)
Hg (0.121, 0.385, 0.069)
Hg (0.736, 0.546, 0.385)
Hg (0.810, 0.931, 0.454)
Hg (0.342, 0.124, 0.153)
Hg (0.505, 0.847, 0.277)
Hg (0.879, 0.615, 0.931)
Hg (0.495, 0.153, 0.723)
Hg (0.190, 0.069, 0.546)
Hg (0.658, 0.876, 0.847)
Hg (0.218, 0.723, 0.124)
Tl (0.454, 0.492, 0.214)
Tl (0.039, 0.706, 0.508)
Tl (0.961, 0.294, 0.492)
Tl (0.332, 0.786, 0.706)
Tl (0.546, 0.508, 0.786)
Tl (0.668, 0.214, 0.294)
Cs (0.000, 0.000, 0.000)

Output
Energy above the lowest structure with this stoichiometry in eV/atom: 0.000
Symmetry: R-3, No. 148

5.
VASP calculation (PBE) on a geometry-optimized KInPS4 structure.

a b c (Å): 7.123 7.123 6.919
angles (deg): 120.98 120.98 90.00
Site moments in Bohr magnetons follow the coordinates.
Positions (direct):
S (0.514, 0.665, 0.724)  0.09
S (0.335, 0.790, 0.276)  0.09
S (0.210, 0.059, 0.724)  0.09
S (0.941, 0.486, 0.276)  0.09
K (0.000, 0.000, 0.000)  0.00
In (0.500, 0.500, 0.000)  0.20
P (0.250, 0.750, 0.500)  0.01

Output
Symmetry: I-4, No. 82

We obtain V values of 25.0, 33.1, 24.8, 30.6, 34.4 Å³/atom for the records listed above, in that order.
We obtain energy values of -6.256, -5.650, -1.025, -1.034, -4.161 eV per atom for the records listed above, in that order.